{
  "formula": "Mg2ScCd4",
  "functional": "PBE-GGA",
  "state": "relaxed",
  "e_above_lowest_polymorph_mev_per_atom": 0,
  "dos_ef_per_ev_atom": 0.48,
  "sg": "No. 166",
  "lattice_angstrom": [[2.438, 1.408, 7.875], [-2.438, 1.408, 7.875], [0.000, -2.815, 7.875]],
  "species": ["Mg", "Mg", "Sc", "Cd", "Cd", "Cd", "Cd"],
  "fractional_positions": [[0.244, 0.244, 0.244], [0.756, 0.756, 0.756], [0.500, 0.500, 0.500], [0.113, 0.113, 0.113], [0.371, 0.371, 0.371], [0.629, 0.629, 0.629], [0.887, 0.887, 0.887]]
}